Entry 1:
VASP calculation (PBE) on a relaxed TcP2Ir crystal.

Cell lengths 4.326, 4.326, 4.326 Å; angles 60.00, 60.00, 60.00 degrees
Fractional coordinates of all 4 atoms:
Ir1 0.500 0.500 0.500
P1 0.000 0.000 0.000
P2 0.250 0.250 0.250
Tc1 0.750 0.750 0.750

Results
Symmetry: F-43m
DOS(E_F): 1.12 states/eV per atom
ΔE_f: 11.97 kcal/mol of atoms

***

Entry 2:
VASP calculation (PBE) on a relaxed TcP2Ir crystal.

Cell lengths 4.258, 4.258, 4.779 Å; angles 77.42, 77.42, 43.92 degrees
Fractional coordinates of all 4 atoms:
Ir1 0.260 0.260 0.226
P1 0.996 0.996 0.030
P2 0.768 0.768 0.599
Tc1 0.476 0.476 0.646

Results
Symmetry: Cm
DOS(E_F): 0.19 states/eV per atom
ΔE_f: -7.94 kcal/mol of atoms

***

Entry 3:
VASP calculation (PBE) on a relaxed TcP2Ir crystal.

Cell lengths 2.955, 3.664, 5.065 Å; angles 90.00, 90.00, 90.00 degrees
Fractional coordinates of all 4 atoms:
Ir1 0.500 0.500 0.813
P1 0.000 0.000 0.951
P2 0.500 0.500 0.295
Tc1 0.000 0.000 0.441

Results
Symmetry: Pmm2
DOS(E_F): 0.68 states/eV per atom
ΔE_f: -6.25 kcal/mol of atoms

***

Entry 4:
VASP calculation (PBE) on a relaxed Tc2PIr crystal.

Cell lengths 2.788, 2.788, 8.336 Å; angles 90.00, 90.00, 117.90 degrees
Fractional coordinates of all 4 atoms:
Tc1 0.000 0.000 0.223
Tc2 0.000 0.000 0.777
P1 0.500 0.500 0.000
Ir1 0.500 0.500 0.500

Results
Symmetry: Cmmm
DOS(E_F): 1.39 states/eV per atom
ΔE_f: 5.31 kcal/mol of atoms

***

Entry 5:
VASP calculation (PBE) on a relaxed TcPIr2 crystal.

Cell lengths 2.805, 2.805, 7.099 Å; angles 90.00, 90.00, 90.00 degrees
Fractional coordinates of all 4 atoms:
Tc1 0.500 0.500 0.500
P1 0.500 0.500 0.000
Ir1 0.000 0.000 0.770
Ir2 0.000 0.000 0.230

Results
Symmetry: P4/mmm
DOS(E_F): 1.01 states/eV per atom
ΔE_f: -0.39 kcal/mol of atoms

***

Entry 6:
VASP calculation (PBE) on a relaxed TcPIr2 crystal.

Cell lengths 5.098, 5.098, 4.503 Å; angles 64.17, 64.17, 32.74 degrees
Fractional coordinates of all 4 atoms:
Tc1 0.210 0.210 0.260
P1 0.501 0.501 0.569
Ir1 0.997 0.997 0.993
Ir2 0.792 0.792 0.678

Results
Symmetry: Cm
DOS(E_F): 0.95 states/eV per atom
ΔE_f: -2.74 kcal/mol of atoms

***

Entry 7:
VASP calculation (PBE) on a relaxed TcP2Ir crystal.

Cell lengths 3.699, 2.954, 5.170 Å; angles 90.00, 90.00, 90.00 degrees
Fractional coordinates of all 4 atoms:
Ir1 0.500 0.750 0.750
P1 0.000 0.750 0.034
P2 0.000 0.750 0.466
Tc1 0.500 0.250 0.250

Results
Symmetry: Pmmm
DOS(E_F): 0.70 states/eV per atom
ΔE_f: 0.19 kcal/mol of atoms

***

Entry 8:
VASP calculation (PBE) on a relaxed TcP2Ir crystal.

Cell lengths 4.071, 4.071, 5.020 Å; angles 78.40, 78.40, 41.91 degrees
Fractional coordinates of all 4 atoms:
Ir1 0.250 0.250 0.250
P1 0.004 0.004 0.986
P2 0.496 0.496 0.514
Tc1 0.750 0.750 0.750

Results
Symmetry: C2/m
DOS(E_F): 0.69 states/eV per atom
ΔE_f: -4.32 kcal/mol of atoms

***

Entry 9:
VASP calculation (PBE) on a relaxed TcPIr2 crystal.

Cell lengths 4.572, 4.572, 4.572 Å; angles 129.00, 129.00, 75.01 degrees
Fractional coordinates of all 4 atoms:
Tc1 0.750 0.250 0.500
P1 0.500 0.500 0.000
Ir1 0.000 0.000 0.000
Ir2 0.250 0.750 0.500

Results
Symmetry: I-4m2
DOS(E_F): 0.56 states/eV per atom
ΔE_f: 2.94 kcal/mol of atoms

***

Entry 10:
VASP calculation (PBE) on a relaxed Tc2PIr crystal.

Cell lengths 3.902, 2.808, 5.258 Å; angles 76.02, 90.00, 90.00 degrees
Fractional coordinates of all 4 atoms:
Tc1 0.000 0.135 0.732
Tc2 0.000 0.865 0.268
P1 0.500 0.500 0.500
Ir1 0.500 0.500 0.000

Results
Symmetry: P2/m
DOS(E_F): 0.69 states/eV per atom
ΔE_f: -3.76 kcal/mol of atoms

***

Entry 11:
VASP calculation (PBE) on a relaxed TcP2Ir crystal.

Cell lengths 7.580, 7.580, 7.580 Å; angles 22.77, 22.77, 22.77 degrees
Fractional coordinates of all 4 atoms:
Ir1 0.738 0.738 0.738
P1 0.000 0.000 0.000
P2 0.250 0.250 0.250
Tc1 0.512 0.512 0.512

Results
Symmetry: R3m
DOS(E_F): 1.02 states/eV per atom
ΔE_f: -2.47 kcal/mol of atoms

***

Entry 12:
VASP calculation (PBE) on a relaxed TcPIr2 crystal.

Cell lengths 8.303, 8.303, 8.303 Å; angles 19.52, 19.52, 19.52 degrees
Fractional coordinates of all 4 atoms:
Tc1 0.243 0.243 0.243
P1 0.500 0.500 0.500
Ir1 0.997 0.997 0.997
Ir2 0.760 0.760 0.760

Results
Symmetry: R3m
DOS(E_F): 0.56 states/eV per atom
ΔE_f: -2.43 kcal/mol of atoms

***

Entry 13:
VASP calculation (PBE) on a relaxed Tc2PIr crystal.

Cell lengths 4.685, 4.685, 4.685 Å; angles 132.07, 132.07, 70.11 degrees
Fractional coordinates of all 4 atoms:
Tc1 0.000 0.000 0.000
Tc2 0.250 0.750 0.500
P1 0.750 0.250 0.500
Ir1 0.500 0.500 0.000

Results
Symmetry: I-4m2
DOS(E_F): 0.89 states/eV per atom
ΔE_f: 1.70 kcal/mol of atoms

***

Entry 14:
VASP calculation (PBE) on a relaxed ThTcP2Ir crystal.

Cell lengths 4.075, 4.075, 5.967 Å; angles 109.97, 109.97, 90.00 degrees
Fractional coordinates of all 5 atoms:
Th1 0.000 0.000 0.000
Tc1 0.250 0.750 0.500
P1 0.633 0.633 0.267
P2 0.367 0.367 0.733
Ir1 0.750 0.250 0.500

Results
Symmetry: I-4m2
DOS(E_F): 0.60 states/eV per atom
ΔE_f: -21.39 kcal/mol of atoms

***

Entry 15:
VASP calculation (PBE) on a relaxed Th2TcP3Ir4 crystal.

Cell lengths 4.150, 4.150, 10.171 Å; angles 90.00, 90.00, 90.00 degrees
Fractional coordinates of all 10 atoms:
Th1 0.500 0.000 0.242
Th2 0.000 0.500 0.758
Tc1 0.500 0.500 0.500
P1 0.000 0.000 0.500
P2 0.500 0.000 0.866
P3 0.000 0.500 0.134
Ir1 0.500 0.500 0.000
Ir2 0.000 0.000 0.000
Ir3 0.500 0.000 0.634
Ir4 0.000 0.500 0.366

Results
Symmetry: P-4m2
DOS(E_F): 0.76 states/eV per atom
ΔE_f: -18.37 kcal/mol of atoms

***

Entry 16:
VASP calculation (PBE) on a relaxed UTc2P2Ir crystal.

Cell lengths 3.990, 6.784, 6.945 Å; angles 90.00, 90.00, 90.00 degrees
Fractional coordinates of all 12 atoms:
U1 0.000 0.977 0.392
U2 0.000 0.477 0.608
Tc1 0.500 0.060 0.089
Tc2 0.000 0.364 0.181
Tc3 0.500 0.560 0.911
Tc4 0.000 0.864 0.819
P1 0.000 0.193 0.901
P2 0.500 0.285 0.354
P3 0.000 0.693 0.099
P4 0.500 0.785 0.646
Ir1 0.500 0.167 0.692
Ir2 0.500 0.667 0.308

Results
Symmetry: Pmc2_1
DOS(E_F): 0.75 states/eV per atom
ΔE_f: -13.15 kcal/mol of atoms

***

Entry 17:
VASP calculation (PBE) on a relaxed UTcP2Ir crystal.

Cell lengths 4.038, 4.038, 5.652 Å; angles 110.93, 110.93, 90.00 degrees
Fractional coordinates of all 5 atoms:
U1 0.000 0.000 0.000
Tc1 0.250 0.750 0.500
P1 0.618 0.618 0.237
P2 0.382 0.382 0.763
Ir1 0.750 0.250 0.500

Results
Symmetry: I-4m2
DOS(E_F): 1.42 states/eV per atom
ΔE_f: -15.69 kcal/mol of atoms

***

Entry 18:
VASP calculation (PBE) on a relaxed TePIr crystal.

Cell lengths 4.338, 4.338, 4.338 Å; angles 60.00, 60.00, 60.00 degrees
Fractional coordinates of all 3 atoms:
Te1 0.000 0.000 0.000
P1 0.250 0.250 0.250
Ir1 0.500 0.500 0.500

Results
Symmetry: F-43m
ΔE_f (raw): 659 meV/atom
DOS(E_F): 0.24 states/eV per atom

***

Entry 19:
VASP calculation (PBE) on a relaxed TePIr2 crystal.

Cell lengths 3.996, 3.995, 5.555 Å; angles 89.81, 90.00, 90.00 degrees
Fractional coordinates of all 4 atoms:
Te1 0.500 0.874 0.160
P1 0.000 0.376 0.634
Ir1 0.000 0.875 0.853
Ir2 0.500 0.375 0.853

Results
Symmetry: Pm
ΔE_f (raw): -229 meV/atom
DOS(E_F): 0.21 states/eV per atom

***

Entry 20:
VASP calculation (PBE) on a relaxed Te2PIr2 crystal.

Cell lengths 4.469, 4.469, 6.293 Å; angles 69.20, 69.20, 90.00 degrees
Fractional coordinates of all 5 atoms:
P1 0.000 0.000 0.000
Ir1 0.384 0.384 0.232
Ir2 0.616 0.616 0.768
Te1 0.750 0.250 0.500
Te2 0.250 0.750 0.500

Results
Symmetry: I4/mmm
ΔE_f (raw): 735 meV/atom
DOS(E_F): 1.13 states/eV per atom